Entry 1
Density functional theory data (GGA-PBE) for a geometry-optimized Ca3ReSe structure.

Cell lengths 5.3518, 5.3518, 5.3518 Å; angles 90.00, 90.00, 90.00 degrees
With the nearest neighbours (Å) after each atom.
Sites, in units of the cell vectors:
1 Re 0.0000 0.0000 0.0000  6 Ca 2.68
2 Ca 0.0000 0.5000 0.0000  2 Re 2.68
3 Ca 0.0000 0.0000 0.5000  2 Re 2.68
4 Ca 0.5000 0.0000 0.0000  2 Re 2.68
5 Se 0.5000 0.5000 0.5000  12 Ca 3.78

Properties
The symmetry is Pm-3m (221). As for the crystal system: cubic.

=====

Entry 2
Density functional theory data (GGA-PBE) for a geometry-optimized Ca3ReSe structure.

Cell lengths 5.4420, 5.4420, 5.4420 Å; angles 90.00, 90.00, 90.00 degrees
With the nearest neighbours (Å) after each atom.
Sites, in units of the cell vectors:
1 Re 0.5000 0.5000 0.5000  12 Ca 3.85
2 Ca 0.0000 0.5000 0.0000  2 Se 2.72
3 Ca 0.0000 0.0000 0.5000  2 Se 2.72
4 Ca 0.5000 0.0000 0.0000  2 Se 2.72
5 Se 0.0000 0.0000 0.0000  6 Ca 2.72

Properties
The symmetry is Pm-3m (221). As for the crystal system: cubic.

=====

It turns out entry 1 is the most stable, with the second structure 0.011 eV/atom higher.

=====

Entry 1
Density functional theory data (GGA-PBE) for a geometry-optimized CaReSi3 structure.

Cell lengths 4.7358, 4.7358, 4.7358 Å; angles 90.00, 90.00, 90.00 degrees
With the nearest neighbours (Å) after each atom.
Sites, in units of the cell vectors:
1 Re 0.0000 0.0000 0.0000  6 Si 2.37
2 Ca 0.5000 0.5000 0.5000  12 Si 3.35
3 Si 0.0000 0.5000 0.0000  2 Re 2.37
4 Si 0.0000 0.0000 0.5000  2 Re 2.37
5 Si 0.5000 0.0000 0.0000  2 Re 2.37

Properties
The symmetry is Pm-3m (221). As for the crystal system: cubic.

=====

Entry 2
Density functional theory data (GGA-PBE) for a geometry-optimized CaReSi3 structure.

Cell lengths 4.7823, 4.7823, 4.7823 Å; angles 90.00, 90.00, 90.00 degrees
With the nearest neighbours (Å) after each atom.
Sites, in units of the cell vectors:
1 Re 0.5000 0.5000 0.5000  12 Si 3.38
2 Ca 0.0000 0.0000 0.0000  6 Si 2.39
3 Si 0.0000 0.5000 0.0000  2 Ca 2.39
4 Si 0.0000 0.0000 0.5000  2 Ca 2.39
5 Si 0.5000 0.0000 0.0000  2 Ca 2.39

Properties
The symmetry is Pm-3m (221). As for the crystal system: cubic.

=====

It turns out entry 1 is the most stable, with the second structure 2.315 eV/atom higher.

=====

Entry 1
Density functional theory data (GGA-PBE) for a geometry-optimized CaReSn2 structure.

Cell lengths 5.4159, 5.4159, 9.4214 Å; angles 73.30, 73.30, 90.00 degrees
With the nearest neighbours (Å) after each atom.
Sites, in units of the cell vectors:
1 Re 0.0000 0.0000 0.0000  4 Sn 2.61
2 Re 0.7500 0.2500 0.5000  4 Sn 2.61
3 Ca 0.5000 0.5000 0.0000  4 Sn 3.32
4 Ca 0.2500 0.7500 0.5000  4 Sn 3.32
5 Sn 0.7698 0.1250 0.2500  2 Re 2.61
6 Sn 0.9802 0.6250 0.2500  2 Re 2.61
7 Sn 0.3750 0.2302 0.7500  2 Re 2.61
8 Sn 0.8750 0.0198 0.7500  2 Re 2.61

Properties
The symmetry is I-42d (122). As for the crystal system: tetragonal.

=====

Entry 2
Density functional theory data (GGA-PBE) for a geometry-optimized CaReSn2 structure.

Cell lengths 4.8876, 4.8876, 4.8876 Å; angles 60.00, 60.00, 60.00 degrees
With the nearest neighbours (Å) after each atom.
Sites, in units of the cell vectors:
1 Re 0.5000 0.5000 0.5000  8 Sn 2.99
2 Ca 0.0000 0.0000 0.0000  8 Sn 2.99
3 Sn 0.2500 0.2500 0.2500  4 Re 2.99, 4 Ca 2.99
4 Sn 0.7500 0.7500 0.7500  4 Re 2.99, 4 Ca 2.99

Properties
The symmetry is Fm-3m (225). As for the crystal system: cubic.

=====

It turns out entry 2 is the most stable, with the second structure 0.376 eV/atom higher.

=====

Entry 1
Density functional theory data (GGA-PBE) for a geometry-optimized SrCaRe structure.

Cell lengths 3.4211, 3.4211, 8.3040 Å; angles 90.00, 90.00, 120.00 degrees
With the nearest neighbours (Å) after each atom.
Sites, in units of the cell vectors:
1 Re 0.6667 0.3333 0.3281  3 Ca 2.97, 3 Sr 3.07
2 Ca 0.0000 0.0000 0.0603  3 Re 2.97
3 Sr 0.3333 0.6667 0.6117  3 Re 3.07, 6 Sr 3.42

Properties
The symmetry is P3m1 (156). As for the crystal system: trigonal.

=====

Entry 2
Density functional theory data (GGA-PBE) for a geometry-optimized SrCaRe structure.

Cell lengths 8.0334, 8.0333, 3.3955 Å; angles 77.80, 77.80, 24.40 degrees
With the nearest neighbours (Å) after each atom.
Sites, in units of the cell vectors:
1 Re 0.3378 0.3378 0.6622  4 Ca 3.04, 4 Sr 3.17, 4 Re 3.40
2 Ca 0.9598 0.9598 0.0402  4 Re 3.04, 4 Ca 3.40
3 Sr 0.7025 0.7025 0.2975  4 Re 3.17, 4 Sr 3.40

Properties
The symmetry is I4mm (107). As for the crystal system: tetragonal.

=====

It turns out entry 2 is the most stable, with the second structure 0.157 eV/atom higher.